Record 1
Compound: KPb2I
Source: Alexandria via LeMat-Bulk
Functional: GGA-PBE
Structure: relaxed

Cell: 10.204 10.204 7.897 Å, 49.76 49.76 90.00°
Sites, in units of the cell vectors:
Pb 0.660 0.125 0.250
Pb 0.090 0.625 0.250
Pb 0.375 0.340 0.750
Pb 0.875 0.910 0.750
I 0.000 0.000 0.000
I 0.750 0.250 0.500
K 0.500 0.500 0.000
K 0.250 0.750 0.500

Properties
N(E_F) (states/eV per atom): 0.78
Size of the total moment (μB per atom): 0.000
Energy relative to the elements, uncorrected (eV/atom): -0.08
Mass density (g/cm3): 5.766
Polymorph energy (0 for the lowest one) (kcal/mol of atoms): 0.000


Record 2
Compound: ZrSi3H
Source: Alexandria via LeMat-Bulk
Functional: GGA-PBE
Structure: relaxed

Cell: 4.052 4.052 4.052 Å, 90.00 90.00 90.00°
Sites, in units of the cell vectors:
H 0.000 0.000 0.000
Si 0.000 0.500 0.000
Si 0.000 0.000 0.500
Si 0.500 0.000 0.000
Zr 0.500 0.500 0.500

Properties
N(E_F) (states/eV per atom): 0.47
Size of the total moment (μB per atom): 0.000
Mass density (g/cm3): 4.404
Polymorph energy (0 for the lowest one) (kcal/mol of atoms): 0.000


Record 3
Compound: DyThPa2As4
Source: Alexandria via LeMat-Bulk
Functional: GGA-PBE
Structure: relaxed

Cell: 4.144 7.162 7.177 Å, 70.49 90.00 90.00°
Sites, in units of the cell vectors:
Dy 0.500 0.500 0.000
Th 0.000 0.500 0.500
Pa 0.000 0.000 0.000
Pa 0.500 0.000 0.500
As 0.000 0.756 0.753
As 0.000 0.244 0.247
As 0.500 0.758 0.242
As 0.500 0.242 0.758

Properties
N(E_F) (states/eV per atom): 1.01
Size of the total moment (μB per atom): 0.000
Mass density (g/cm3): 9.564
Formation energy (meV per atom): -1244


Record 4
Compound: InOs2Ru
Source: Alexandria via LeMat-Bulk
Functional: GGA-PBE
Structure: relaxed

Cell: 4.207 3.859 3.859 Å, 90.00 90.00 90.00°
Sites, in units of the cell vectors:
In 0.500 0.000 0.500
Os 0.000 0.000 0.000
Os 0.000 0.500 0.500
Ru 0.500 0.500 0.000

Properties
N(E_F) (states/eV per atom): 1.24
Size of the total moment (μB per atom): 0.000
Mass density (g/cm3): 15.806
Formation energy (meV per atom): 615


Record 5
Compound: CeNd2Y7
Source: Alexandria via LeMat-Bulk
Functional: GGA-PBE
Structure: relaxed

Cell: 3.494 14.943 14.943 Å, 25.50 90.00 90.00°
Sites, in units of the cell vectors:
Ce 0.000 0.000 0.000
Nd 0.500 0.294 0.294
Nd 0.500 0.706 0.706
Y 0.000 0.187 0.187
Y 0.000 0.813 0.813
Y 0.500 0.853 0.343
Y 0.500 0.147 0.657
Y 0.500 0.657 0.147
Y 0.500 0.343 0.853
Y 0.500 0.500 0.500

Properties
N(E_F) (states/eV per atom): 2.01
Size of the total moment (μB per atom): 0.076
Mass density (g/cm3): 5.195
Formation energy (meV per atom): 186


Record 6
Compound: ReRh2Br
Source: Alexandria via LeMat-Bulk
Functional: GGA-PBE
Structure: relaxed

Cell: 4.492 4.492 4.492 Å, 60.00 60.00 60.00°
Sites, in units of the cell vectors:
Re 0.500 0.500 0.500
Rh 0.250 0.250 0.250
Rh 0.750 0.750 0.750
Br 0.000 0.000 0.000

Properties
N(E_F) (states/eV per atom): 1.50
Size of the total moment (μB per atom): 0.099
Energy relative to the elements, uncorrected (eV/atom): 1.00
Mass density (g/cm3): 12.227
Polymorph energy (0 for the lowest one) (kcal/mol of atoms): 15.905